Material: TaCu2Pt2
Method: DFT, PBE
State: optimized geometry

Calculated values
- V (Å³ per cell) = 147.1
- density of states at the Fermi level (states/eV/atom) = 0.486
- formation energy (meV per atom) = -370
- energy above the lowest structure with this stoichiometry (meV/atom) = 55.3
- spin magnetization (μB per formula unit) = 0.0
- calculated density (Mg/m³) = 15.8

Unit cell a=4.757 b=5.189 c=7.321 alpha=110.90 beta=90.00 gamma=117.28
Sites, in units of the cell vectors:
Ta  0.671  0.000  0.750
Ta  0.329  0.000  0.250
Cu  0.734  0.790  0.052
Cu  0.944  0.210  0.448
Cu  0.266  0.210  0.948
Cu  0.056  0.790  0.552
Pt  0.524  0.373  0.641
Pt  0.151  0.627  0.859
Pt  0.476  0.627  0.359
Pt  0.849  0.373  0.141

Material: TaCuPt2
Method: DFT, PBE
State: optimized geometry

Calculated values
- V (Å³ per cell) = 61.3
- density of states at the Fermi level (states/eV/atom) = 1.122
- formation energy (meV per atom) = -319
- spin magnetization (μB per formula unit) = 0.0
- calculated density (Mg/m³) = 17.2

Unit cell a=3.971 b=3.969 c=3.892 alpha=90.00 beta=90.00 gamma=90.00
Sites, in units of the cell vectors:
Cu  0.000  0.500  0.500
Pt  0.000  0.000  0.000
Pt  0.500  0.500  0.000
Ta  0.500  0.000  0.500

Material: TaCuPt2
Method: DFT, PBE
State: optimized geometry

Calculated values
- V (Å³ per cell) = 62.1
- density of states at the Fermi level (states/eV/atom) = 0.645
- formation energy (meV per atom) = -250
- spin magnetization (μB per formula unit) = 0.0
- calculated density (Mg/m³) = 17.0

Unit cell a=2.834 b=4.976 c=5.368 alpha=55.06 beta=90.00 gamma=90.00
Sites, in units of the cell vectors:
Cu  0.000  0.000  0.500
Pt  0.000  0.000  0.000
Pt  0.500  0.500  0.000
Ta  0.500  0.500  0.500

Material: TaCu4Pt
Method: DFT, PBE
State: optimized geometry

Calculated values
- V (Å³ per cell) = 79.0
- density of states at the Fermi level (states/eV/atom) = 0.422
- formation energy (meV per atom) = -171
- spin magnetization (μB per formula unit) = 0.0
- calculated density (Mg/m³) = 13.2

Unit cell a=4.817 b=4.817 c=4.817 alpha=60.00 beta=60.00 gamma=60.00
Sites, in units of the cell vectors:
Cu  0.125  0.625  0.625
Cu  0.625  0.625  0.625
Cu  0.625  0.125  0.625
Cu  0.625  0.625  0.125
Pt  0.250  0.250  0.250
Ta  0.000  0.000  0.000

Material: TaCu3Pt6
Method: DFT, PBE
State: optimized geometry

Calculated values
- V (Å³ per cell) = 298.5
- density of states at the Fermi level (states/eV/atom) = 0.588
- formation energy (meV per atom) = -362
- spin magnetization (μB per formula unit) = 0.0
- calculated density (Mg/m³) = 17.2

Unit cell a=3.979 b=8.458 c=8.885 alpha=93.49 beta=90.00 gamma=90.00
Sites, in units of the cell vectors:
Ta  0.250  0.934  0.620
Ta  0.750  0.066  0.380
Cu  0.250  0.553  0.395
Cu  0.750  0.447  0.605
Cu  0.250  0.347  0.809
Cu  0.750  0.653  0.191
Cu  0.250  0.745  0.998
Cu  0.750  0.255  0.002
Pt  0.250  0.459  0.100
Pt  0.750  0.541  0.900
Pt  0.250  0.158  0.206
Pt  0.750  0.842  0.794
Pt  0.250  0.631  0.691
Pt  0.750  0.369  0.309
Pt  0.250  0.252  0.510
Pt  0.750  0.748  0.490
Pt  0.250  0.854  0.303
Pt  0.750  0.146  0.697
Pt  0.250  0.056  0.903
Pt  0.750  0.944  0.097

Material: TaCu2Pt8
Method: DFT, PBE
State: optimized geometry

Calculated values
- V (Å³ per cell) = 173.9
- density of states at the Fermi level (states/eV/atom) = 0.914
- formation energy (meV per atom) = -221
- spin magnetization (μB per formula unit) = 0.0
- calculated density (Mg/m³) = 17.8

Unit cell a=4.030 b=6.694 c=6.694 alpha=105.65 beta=89.99 gamma=89.99
Sites, in units of the cell vectors:
Ta  0.500  0.000  0.000
Cu  0.000  0.614  0.386
Cu  0.000  0.386  0.614
Pt  0.000  0.956  0.693
Pt  0.000  0.693  0.956
Pt  0.500  0.667  0.667
Pt  0.500  0.250  0.750
Pt  0.500  0.750  0.250
Pt  0.500  0.333  0.333
Pt  0.000  0.307  0.044
Pt  0.000  0.044  0.307

Material: TaCu2Pt2
Method: DFT, PBE
State: optimized geometry

Calculated values
- V (Å³ per cell) = 147.0
- density of states at the Fermi level (states/eV/atom) = 0.862
- formation energy (meV per atom) = -198
- energy above the lowest structure with this stoichiometry (meV/atom) = 227.3
- spin magnetization (μB per formula unit) = 0.0
- calculated density (Mg/m³) = 15.8

Unit cell a=7.167 b=7.167 c=2.862 alpha=90.00 beta=90.00 gamma=90.00
Sites, in units of the cell vectors:
Cu  0.382  0.882  0.000
Cu  0.882  0.618  0.000
Cu  0.618  0.118  0.000
Cu  0.118  0.382  0.000
Pt  0.180  0.680  0.500
Pt  0.680  0.820  0.500
Pt  0.820  0.320  0.500
Pt  0.320  0.180  0.500
Ta  0.000  0.000  0.000
Ta  0.500  0.500  0.000

Material: TaCuPt2
Method: DFT, PBE
State: optimized geometry

Calculated values
- V (Å³ per cell) = 61.0
- density of states at the Fermi level (states/eV/atom) = 0.903
- formation energy (meV per atom) = -481
- spin magnetization (μB per formula unit) = 0.0
- calculated density (Mg/m³) = 17.3

Unit cell a=4.913 b=4.913 c=4.924 alpha=133.77 beta=133.77 gamma=67.24
Sites, in units of the cell vectors:
Cu  0.250  0.750  0.500
Pt  0.000  0.000  0.000
Pt  0.751  0.250  0.500
Ta  0.500  0.500  0.000

Material: Ta2CuPt
Method: DFT, PBE
State: optimized geometry

Calculated values
- V (Å³ per cell) = 63.3
- density of states at the Fermi level (states/eV/atom) = 0.657
- formation energy (meV per atom) = -251
- spin magnetization (μB per formula unit) = 0.0
- calculated density (Mg/m³) = 16.3

Unit cell a=2.812 b=2.812 c=8.009 alpha=90.00 beta=90.00 gamma=89.97
Sites, in units of the cell vectors:
Cu  0.500  0.500  0.250
Pt  0.500  0.500  0.750
Ta  0.000  0.000  0.009
Ta  0.000  0.000  0.491

Material: TaCu2Pt9
Method: DFT, PBE
State: optimized geometry

Calculated values
- V (Å³ per cell) = 183.1
- density of states at the Fermi level (states/eV/atom) = 1.257
- formation energy (meV per atom) = -339
- spin magnetization (μB per formula unit) = 0.0
- calculated density (Mg/m³) = 18.7

Unit cell a=3.945 b=3.945 c=11.767 alpha=90.00 beta=90.00 gamma=90.00
Sites, in units of the cell vectors:
Ta  0.000  0.000  0.000
Cu  0.000  0.000  0.339
Cu  0.000  0.000  0.661
Pt  0.500  0.500  0.000
Pt  0.500  0.500  0.334
Pt  0.500  0.500  0.666
Pt  0.500  0.000  0.167
Pt  0.500  0.000  0.500
Pt  0.500  0.000  0.833
Pt  0.000  0.500  0.167
Pt  0.000  0.500  0.500
Pt  0.000  0.500  0.833

Material: Ta2CuPt
Method: DFT, PBE
State: optimized geometry

Calculated values
- V (Å³ per cell) = 64.9
- density of states at the Fermi level (states/eV/atom) = 1.158
- formation energy (meV per atom) = -119
- spin magnetization (μB per formula unit) = 0.0
- calculated density (Mg/m³) = 15.9

Unit cell a=3.425 b=3.425 c=5.533 alpha=90.00 beta=90.00 gamma=90.00
Sites, in units of the cell vectors:
Cu  0.500  0.500  0.250
Pt  0.500  0.500  0.750
Ta  0.000  0.000  0.003
Ta  0.000  0.000  0.497

Material: TaCuPt3
Method: DFT, PBE
State: optimized geometry

Calculated values
- V (Å³ per cell) = 159.1
- density of states at the Fermi level (states/eV/atom) = 0.870
- formation energy (meV per atom) = -350
- energy above the lowest structure with this stoichiometry (meV/atom) = 177.0
- spin magnetization (μB per formula unit) = 0.0
- calculated density (Mg/m³) = 17.3

Unit cell a=4.411 b=5.583 c=6.826 alpha=90.00 beta=71.15 gamma=90.00
Sites, in units of the cell vectors:
Ta  0.622  0.750  0.256
Ta  0.378  0.250  0.744
Cu  0.375  0.750  0.750
Cu  0.625  0.250  0.250
Pt  0.187  0.004  0.127
Pt  0.813  0.996  0.873
Pt  0.187  0.496  0.127
Pt  0.813  0.504  0.873
Pt  0.999  0.750  0.502
Pt  0.001  0.250  0.498

Material: TaCuPt2
Method: DFT, PBE
State: optimized geometry

Calculated values
- V (Å³ per cell) = 61.2
- density of states at the Fermi level (states/eV/atom) = 0.510
- formation energy (meV per atom) = -259
- spin magnetization (μB per formula unit) = 0.0
- calculated density (Mg/m³) = 17.2

Unit cell a=2.812 b=2.812 c=7.735 alpha=90.00 beta=90.00 gamma=89.97
Sites, in units of the cell vectors:
Cu  0.500  0.500  0.755
Pt  0.000  0.000  0.982
Pt  0.500  0.500  0.254
Ta  0.000  0.000  0.510